# 1
# TaSb2Rh

An optimized crystal structure of TaSb2Rh (PBE-GGA, Alexandria).

Output
D(E_F) ... 2.6 states/eV/cell
Total moment ... 0.000 Bohr magnetons per cell
SG ... Amm2 (38)
E_form (uncorrected) ... -0.15 eV per atom
Energy ... -28.06 eV/cell

Cell: 4.2653 5.4489 5.4489 Å, 40.20 90.00 90.00°
Positions (direct):
1 Ta 0.0000 0.0000 0.0000
2 Sb 0.0000 0.7139 0.7139
3 Sb 0.5000 0.4232 0.4232
4 Rh 0.5000 0.1556 0.1556

# 2
# Ta2SbRh

An optimized crystal structure of Ta2SbRh (PBE-GGA, Alexandria).

Output
D(E_F) ... 3.3 states/eV/cell
Total moment ... 0.000 Bohr magnetons per cell
SG ... P4/mmm (123)
E_form (uncorrected) ... -0.15 eV per atom
Energy ... -35.78 eV/cell

Cell: 3.9934 3.9934 4.4426 Å, 90.00 90.00 90.00°
Positions (direct):
1 Ta 0.0000 0.5000 0.0000
2 Ta 0.5000 0.0000 0.0000
3 Sb 0.0000 0.0000 0.5000
4 Rh 0.5000 0.5000 0.5000

# 3
# TaSb3Rh

An optimized crystal structure of TaSb3Rh (PBE-GGA, Alexandria).

Output
D(E_F) ... 4.0 states/eV/cell
Total moment ... 0.000 Bohr magnetons per cell
SG ... Pm-3m (221)
E_form (uncorrected) ... 0.92 eV per atom
Energy ... -26.98 eV/cell

Cell: 5.2705 5.2705 5.2705 Å, 90.00 90.00 90.00°
Positions (direct):
1 Ta 0.0000 0.0000 0.0000
2 Sb 0.0000 0.0000 0.5000
3 Sb 0.0000 0.5000 0.0000
4 Sb 0.5000 0.0000 0.0000
5 Rh 0.5000 0.5000 0.5000